The following is a PBE calculation of crystalline Dy3Ho6Tm at its relaxed geometry, from Alexandria via LeMat-Bulk.

Properties
magnetic moment	0.0	μB per cell
density of states at the Fermi level	28.994	states/eV per cell
excess energy over the best structure of this formula in the dataset	26	meV/atom
energy of formation from the pure elements	0.15	eV/atom
E	-88.51	eV per cell

Lattice parameters (Å, degrees): 10.867 10.867 6.138 90.00 90.00 119.80
Fractional positions:
Dy: 0.110 0.890 0.500
Dy: 0.221 0.440 0.112
Dy: 0.440 0.221 0.612
Dy: 0.560 0.779 0.112
Dy: 0.779 0.560 0.612
Dy: 0.890 0.110 0.000
Ho: 0.037 0.457 0.709
Ho: 0.118 0.211 0.533
Ho: 0.211 0.118 0.033
Ho: 0.218 0.782 0.927
Ho: 0.453 0.547 0.650
Ho: 0.457 0.037 0.209
Ho: 0.543 0.963 0.709
Ho: 0.547 0.453 0.150
Ho: 0.782 0.218 0.427
Ho: 0.789 0.882 0.533
Ho: 0.882 0.789 0.033
Ho: 0.963 0.543 0.209
Tm: 0.293 0.707 0.426
Tm: 0.707 0.293 0.926

***

The following is a PBE calculation of crystalline MoPt2Br at its relaxed geometry, from Alexandria via LeMat-Bulk.

Properties
ΔE_f (raw)	214	meV per atom
magnetic moment	0.0	μB per cell
density of states at the Fermi level	6.261	states/eV per cell
excess energy over the best structure of this formula in the dataset	166	meV/atom
E	-71.19	eV per cell

Lattice parameters (Å, degrees): 2.934 2.934 28.177 90.00 90.00 120.00
Fractional positions:
Mo: 0.000 0.000 0.000
Mo: 0.333 0.667 0.667
Mo: 0.667 0.333 0.333
Pt: 0.000 0.000 0.490
Pt: 0.000 0.000 0.742
Pt: 0.333 0.667 0.157
Pt: 0.333 0.667 0.409
Pt: 0.667 0.333 0.075
Pt: 0.667 0.333 0.824
Br: 0.000 0.000 0.263
Br: 0.333 0.667 0.930
Br: 0.667 0.333 0.596

***

The following is a PBE calculation of crystalline LaY2Re at its relaxed geometry, from Alexandria via LeMat-Bulk.

Properties
magnetic moment	0.0	μB per cell
density of states at the Fermi level	8.668	states/eV per cell
excess energy over the best structure of this formula in the dataset	288	meV/atom
energy of formation from the pure elements	0.46	eV/atom
E	-56.94	eV per cell

Lattice parameters (Å, degrees): 6.514 7.886 3.962 90.00 90.00 90.00
Fractional positions:
La: 0.000 0.000 0.000
La: 0.500 0.500 0.000
Y: 0.250 0.250 0.500
Y: 0.250 0.750 0.500
Y: 0.750 0.250 0.500
Y: 0.750 0.750 0.500
Re: 0.000 0.500 0.000
Re: 0.500 0.000 0.000